1.
## Pm2Ho3Tl (PBE-GGA)

Data for a relaxed structure of Pm2Ho3Tl.

Geometry as POSCAR:
```
Pm2Ho3Tl
1.0
2.437 -7.627 0.000
2.437 7.627 0.000
0.000 0.000 4.918
Pm Ho Tl
2 3 1
Direct
0.162 0.838 0.000
0.838 0.162 0.000
0.000 0.000 0.500
0.334 0.666 0.500
0.666 0.334 0.500
0.500 0.500 0.000
```

Calculated values
E = -4.365 eV/atom
ΔE to the lowest computed polymorph = 0.00 eV/f.u.
space group = Cmmm
formation energy = -0.6 eV/f.u.
DOS at the Fermi energy = 7.1 states/eV/cell

---

2.
## NaCa2SbBr8 (PBE-GGA)

Data for a relaxed structure of NaCa2SbBr8.

Geometry as POSCAR:
```
NaCa2SbBr8
1.0
6.640 0.000 0.000
0.000 8.799 0.000
-0.033 0.000 6.957
Na Ca Sb Br
1 2 1 8
Direct
0.000 0.000 0.000
0.500 0.242 0.500
0.500 0.758 0.500
0.000 0.500 0.000
0.233 0.264 0.838
0.233 0.736 0.838
0.260 0.500 0.335
0.272 0.000 0.336
0.728 0.000 0.664
0.740 0.500 0.665
0.767 0.264 0.162
0.767 0.736 0.162
```

Calculated values
E = -3.350 eV/atom
space group = P2/m
DOS at the Fermi energy = 0.0 states/eV/cell

---

3.
## Na2NdTmO4 (PBE-GGA)

Data for a relaxed structure of Na2NdTmO4.

Geometry as POSCAR:
```
Na2NdTmO4
1.0
5.957 0.000 0.000
0.000 3.477 0.000
-2.043 0.000 5.678
Na Nd Tm O
2 1 1 4
Direct
0.000 0.000 0.000
0.000 0.500 0.500
0.500 0.000 0.500
0.500 0.500 0.000
0.286 0.500 0.248
0.289 0.000 0.775
0.711 0.000 0.225
0.714 0.500 0.752
```

Calculated values
E = -6.684 eV/atom
space group = P2/m
DOS at the Fermi energy = 0.0 states/eV/cell

---

4.
## TlTcN2O (PBE-GGA)

Data for a relaxed structure of TlTcN2O.

Geometry as POSCAR:
```
TlTcN2O
1.0
4.280 0.000 0.000
0.000 4.280 0.000
0.000 0.000 4.163
Tl Tc N O
1 1 2 1
Direct
0.000 0.000 0.000
0.500 0.500 0.500
0.000 0.500 0.000
0.500 0.000 0.000
0.000 0.000 0.500
```

Calculated values
E = -4.803 eV/atom
space group = P4/mmm
DOS at the Fermi energy = 2.8 states/eV/cell